Record 1
# AcCe2Nd PBE optimized geometry
# Density of states at the Fermi level ... 15.3 states/eV/f.u.
# Formation enthalpy at 0 K ... 0.298 eV per atom
# Calculated volume ... 143.8 Å³/f.u.
# Crystal system ... cubic
# Total DFT energy (no corrections) ... -4.8877 eV per atom
# Polymorph energy (0 for the lowest one) ... 148.6 meV/atom
data_AcCe2Nd
_chemical_formula_sum 'Ac4 Ce8 Nd4'
_space_group_name_H-M_alt 'F m -3 m'
_space_group_IT_number 225
_space_group_name_Hall '-F 4 2 3'
_cell_length_a 8.3159
_cell_length_b 8.3159
_cell_length_c 8.3159
_cell_angle_alpha 90.00
_cell_angle_beta 90.00
_cell_angle_gamma 90.00
loop_
_atom_site_label
_atom_site_fract_x
_atom_site_fract_y
_atom_site_fract_z
Ac1 0.0000 0.0000 0.0000
Ce1 0.2500 0.2500 0.2500
Nd1 0.0000 0.0000 0.5000

Record 2
# AcCe2Nd PBE optimized geometry
# Density of states at the Fermi level ... 12.4 states/eV/f.u.
# Formation enthalpy at 0 K ... 0.303 eV per atom
# Calculated volume ... 139.8 Å³/f.u.
# Crystal system ... trigonal
# Total DFT energy (no corrections) ... -4.8828 eV per atom
# Polymorph energy (0 for the lowest one) ... 153.5 meV/atom
data_AcCe2Nd
_chemical_formula_sum 'Ac3 Ce6 Nd3'
_space_group_name_H-M_alt 'R -3 m'
_space_group_IT_number 166
_space_group_name_Hall '-R 3 2"'
_cell_length_a 3.5531
_cell_length_b 3.5531
_cell_length_c 38.3599
_cell_angle_alpha 90.00
_cell_angle_beta 90.00
_cell_angle_gamma 120.00
loop_
_atom_site_label
_atom_site_fract_x
_atom_site_fract_y
_atom_site_fract_z
Ac1 0.0000 0.0000 0.0000
Ce1 0.0000 0.0000 0.0899
Nd1 0.0000 0.0000 0.5000

Record 3
# AcCe2Nd PBE optimized geometry
# Density of states at the Fermi level ... 11.9 states/eV/f.u.
# Formation enthalpy at 0 K ... 0.160 eV per atom
# Calculated volume ... 137.4 Å³/f.u.
# Crystal system ... tetragonal
# Total DFT energy (no corrections) ... -5.0259 eV per atom
# Polymorph energy (0 for the lowest one) ... 10.4 meV/atom
data_AcCe2Nd
_chemical_formula_sum 'Ac1 Ce2 Nd1'
_space_group_name_H-M_alt 'P 4/m m m'
_space_group_IT_number 123
_space_group_name_Hall '-P 4 2'
_cell_length_a 3.6411
_cell_length_b 3.6411
_cell_length_c 10.3644
_cell_angle_alpha 90.00
_cell_angle_beta 90.00
_cell_angle_gamma 90.00
loop_
_atom_site_label
_atom_site_fract_x
_atom_site_fract_y
_atom_site_fract_z
Ac1 0.0000 0.0000 0.0000
Ce1 0.5000 0.5000 0.2577
Nd1 0.0000 0.0000 0.5000

Record 4
# AcCe2Nd PBE optimized geometry
# Density of states at the Fermi level ... 11.0 states/eV/f.u.
# Formation enthalpy at 0 K ... 0.150 eV per atom
# Calculated volume ... 136.1 Å³/f.u.
# Crystal system ... tetragonal
# Total DFT energy (no corrections) ... -5.0363 eV per atom
# Polymorph energy (0 for the lowest one) ... 0.0 meV/atom
data_AcCe2Nd
_chemical_formula_sum 'Ac1 Ce2 Nd1'
_space_group_name_H-M_alt 'P 4/m m m'
_space_group_IT_number 123
_space_group_name_Hall '-P 4 2'
_cell_length_a 5.1061
_cell_length_b 5.1061
_cell_length_c 5.2193
_cell_angle_alpha 90.00
_cell_angle_beta 90.00
_cell_angle_gamma 90.00
loop_
_atom_site_label
_atom_site_fract_x
_atom_site_fract_y
_atom_site_fract_z
Ac1 0.0000 0.0000 0.0000
Ce1 0.0000 0.5000 0.5000
Nd1 0.5000 0.5000 0.0000

Record 5
# Ac2CeNd PBE optimized geometry
# Density of states at the Fermi level ... 9.4 states/eV/f.u.
# Formation enthalpy at 0 K ... 0.100 eV per atom
# Calculated volume ... 152.8 Å³/f.u.
# Crystal system ... tetragonal
# Total DFT energy (no corrections) ... -4.6295 eV per atom
# Polymorph energy (0 for the lowest one) ... 0.0 meV/atom
data_Ac2CeNd
_chemical_formula_sum 'Ac2 Ce1 Nd1'
_space_group_name_H-M_alt 'P 4/m m m'
_space_group_IT_number 123
_space_group_name_Hall '-P 4 2'
_cell_length_a 3.7984
_cell_length_b 3.7984
_cell_length_c 10.5926
_cell_angle_alpha 90.00
_cell_angle_beta 90.00
_cell_angle_gamma 90.00
loop_
_atom_site_label
_atom_site_fract_x
_atom_site_fract_y
_atom_site_fract_z
Ac1 0.0000 0.0000 0.2438
Ce1 0.5000 0.5000 0.0000
Nd1 0.5000 0.5000 0.5000

Record 6
# Ac2CeNd PBE optimized geometry
# Density of states at the Fermi level ... 10.8 states/eV/f.u.
# Formation enthalpy at 0 K ... 0.114 eV per atom
# Calculated volume ... 153.9 Å³/f.u.
# Crystal system ... tetragonal
# Total DFT energy (no corrections) ... -4.6155 eV per atom
# Polymorph energy (0 for the lowest one) ... 14.0 meV/atom
data_Ac2CeNd
_chemical_formula_sum 'Ac2 Ce1 Nd1'
_space_group_name_H-M_alt 'P 4/m m m'
_space_group_IT_number 123
_space_group_name_Hall '-P 4 2'
_cell_length_a 5.4047
_cell_length_b 5.4047
_cell_length_c 5.2683
_cell_angle_alpha 90.00
_cell_angle_beta 90.00
_cell_angle_gamma 90.00
loop_
_atom_site_label
_atom_site_fract_x
_atom_site_fract_y
_atom_site_fract_z
Ac1 0.0000 0.5000 0.0000
Ce1 0.0000 0.0000 0.5000
Nd1 0.5000 0.5000 0.5000

Record 7
# Ac2CeNd PBE optimized geometry
# Density of states at the Fermi level ... 10.3 states/eV/f.u.
# Formation enthalpy at 0 K ... 0.272 eV per atom
# Calculated volume ... 158.8 Å³/f.u.
# Crystal system ... trigonal
# Total DFT energy (no corrections) ... -4.4578 eV per atom
# Polymorph energy (0 for the lowest one) ... 171.7 meV/atom
data_Ac2CeNd
_chemical_formula_sum 'Ac6 Ce3 Nd3'
_space_group_name_H-M_alt 'R -3 m'
_space_group_IT_number 166
_space_group_name_Hall '-R 3 2"'
_cell_length_a 3.7271
_cell_length_b 3.7271
_cell_length_c 39.5886
_cell_angle_alpha 90.00
_cell_angle_beta 90.00
_cell_angle_gamma 120.00
loop_
_atom_site_label
_atom_site_fract_x
_atom_site_fract_y
_atom_site_fract_z
Ac1 0.0000 0.0000 0.0879
Ce1 0.0000 0.0000 0.0000
Nd1 0.0000 0.0000 0.5000

Record 8
# Ac14CeNd PBE optimized geometry
# Density of states at the Fermi level ... 37.0 states/eV/f.u.
# Formation enthalpy at 0 K ... 0.046 eV per atom
# Calculated volume ... 699.6 Å³/f.u.
# Crystal system ... orthorhombic
# Total DFT energy (no corrections) ... -4.2181 eV per atom
data_Ac14CeNd
_chemical_formula_sum 'Ac28 Ce2 Nd2'
_space_group_name_H-M_alt 'A m m 2'
_space_group_IT_number 38
_space_group_name_Hall 'A 2 -2'
_cell_length_a 11.2223
_cell_length_b 11.1661
_cell_length_c 11.1653
_cell_angle_alpha 90.00
_cell_angle_beta 90.00
_cell_angle_gamma 90.00
loop_
_atom_site_label
_atom_site_fract_x
_atom_site_fract_y
_atom_site_fract_z
Ac1 0.0000 0.0000 0.0000
Ac2 0.0000 0.0000 0.4997
Ac3 0.0000 0.2491 0.2499
Ac4 0.2555 0.0000 0.7512
Ac5 0.2566 0.2486 0.9998
Ac6 0.2579 0.0000 0.2484
Ac7 0.5000 0.2488 0.7499
Ce1 0.5000 0.0000 0.9996
Nd1 0.5000 0.0000 0.5001

Record 9
# Ac2CeNd PBE optimized geometry
# Density of states at the Fermi level ... 11.3 states/eV/f.u.
# Formation enthalpy at 0 K ... 0.212 eV per atom
# Calculated volume ... 157.1 Å³/f.u.
# Crystal system ... cubic
# Total DFT energy (no corrections) ... -4.5178 eV per atom
# Polymorph energy (0 for the lowest one) ... 111.7 meV/atom
data_Ac2CeNd
_chemical_formula_sum 'Ac8 Ce4 Nd4'
_space_group_name_H-M_alt 'F m -3 m'
_space_group_IT_number 225
_space_group_name_Hall '-F 4 2 3'
_cell_length_a 8.5652
_cell_length_b 8.5652
_cell_length_c 8.5652
_cell_angle_alpha 90.00
_cell_angle_beta 90.00
_cell_angle_gamma 90.00
loop_
_atom_site_label
_atom_site_fract_x
_atom_site_fract_y
_atom_site_fract_z
Ac1 0.2500 0.2500 0.2500
Ce1 0.0000 0.0000 0.0000
Nd1 0.0000 0.0000 0.5000

Record 10
# AcCe3Nd2P6 PBE optimized geometry
# Density of states at the Fermi level ... 14.5 states/eV/f.u.
# Formation enthalpy at 0 K ... -1.493 eV per atom
# Calculated volume ... 309.0 Å³/f.u.
# Crystal system ... monoclinic
# Total DFT energy (no corrections) ... -6.8186 eV per atom
data_AcCe3Nd2P6
_chemical_formula_sum 'Ac2 Ce6 Nd4 P12'
_space_group_name_H-M_alt 'C 1 2/m 1'
_space_group_IT_number 12
_space_group_name_Hall '-C 2y'
_cell_length_a 7.2324
_cell_length_b 12.5267
_cell_length_c 7.2347
_cell_angle_alpha 90.00
_cell_angle_beta 109.48
_cell_angle_gamma 90.00
loop_
_atom_site_label
_atom_site_fract_x
_atom_site_fract_y
_atom_site_fract_z
Ac1 0.0000 0.0000 0.0000
Ce1 0.0000 0.1655 0.5000
Ce2 0.0000 0.5000 0.5000
Nd1 0.0000 0.3329 0.0000
P1 0.2413 0.3292 0.7368
P2 0.2457 0.5000 0.2622

Record 11
# Ac4Ce3NdP8 PBE optimized geometry
# Density of states at the Fermi level ... 16.0 states/eV/f.u.
# Formation enthalpy at 0 K ... -1.465 eV per atom
# Calculated volume ... 443.5 Å³/f.u.
# Crystal system ... trigonal
# Total DFT energy (no corrections) ... -6.6072 eV per atom
data_Ac4Ce3NdP8
_chemical_formula_sum 'Ac12 Ce9 Nd3 P24'
_space_group_name_H-M_alt 'R -3 m'
_space_group_IT_number 166
_space_group_name_Hall '-R 3 2"'
_cell_length_a 8.5470
_cell_length_b 8.5470
_cell_length_c 21.0322
_cell_angle_alpha 90.00
_cell_angle_beta 90.00
_cell_angle_gamma 120.00
loop_
_atom_site_label
_atom_site_fract_x
_atom_site_fract_y
_atom_site_fract_z
Ac1 0.0000 0.0000 0.0000
Ac2 0.0000 0.5000 0.0000
Ce1 0.0000 0.5000 0.5000
Nd1 0.0000 0.0000 0.5000
P1 0.0000 0.0000 0.2426
P2 0.0037 0.5018 0.7567

Record 12
# AcCe2NdP4 PBE optimized geometry
# Density of states at the Fermi level ... 9.2 states/eV/f.u.
# Formation enthalpy at 0 K ... -1.480 eV per atom
# Calculated volume ... 209.5 Å³/f.u.
# Crystal system ... monoclinic
# Total DFT energy (no corrections) ... -6.7775 eV per atom
data_AcCe2NdP4
_chemical_formula_sum 'Ac1 Ce2 Nd1 P4'
_space_group_name_H-M_alt 'P 1 2/m 1'
_space_group_IT_number 10
_space_group_name_Hall '-P 2y'
_cell_length_a 7.2761
_cell_length_b 4.1955
_cell_length_c 7.2778
_cell_angle_alpha 90.00
_cell_angle_beta 109.42
_cell_angle_gamma 90.00
loop_
_atom_site_label
_atom_site_fract_x
_atom_site_fract_y
_atom_site_fract_z
Ac1 0.0000 0.0000 0.0000
Ce1 0.0000 0.5000 0.5000
Ce2 0.5000 0.0000 0.5000
Nd1 0.5000 0.5000 0.0000
P1 0.2528 0.0000 0.7375
P2 0.2635 0.5000 0.2685

| no. | total moment (μB per formula unit) |
| --- | --- |
| 1 | 4.4 |
| 2 | 1.9 |
| 3 | 2.1 |
| 4 | 1.9 |
| 5 | 1.2 |
| 6 | 1.2 |
| 7 | 1.6 |
| 8 | 2.1 |
| 9 | 3.0 |
| 10 | 1.6 |
| 11 | 1.7 |
| 12 | 1.1 |